[1]
Density functional theory data (PBE) for a relaxed La2OsSe crystal.

The structure belongs to space group Pmmm (No. 47); the cell edges are 3.588, 3.610 and 7.602 Å and the angles 90.00°, 90.00° and 90.00°. The distinct sites, in fractional coordinates, are La at (0.000, 0.000, 0.233), Os at (0.500, 0.500, 0.000) and Se at (0.500, 0.500, 0.500).

The uncorrected formation energy comes out at -78.82 kJ/mol of atoms. The raw total energy comes out at -27.84 eV per formula unit. The crystal system is orthorhombic.

=====

[2]
Density functional theory data (PBE) for a relaxed La2OsSe crystal.

The structure belongs to space group Amm2 (No. 38); the cell edges are 4.782, 3.864 and 11.217 Å and the angles 90.00°, 90.00° and 90.00°. The distinct sites, in fractional coordinates, are La at (0.000, 0.000, 0.000), La at (0.500, 0.000, 0.271), Os at (0.500, 0.000, 0.505) and Se at (0.000, 0.000, 0.729).

The uncorrected formation energy comes out at -79.04 kJ/mol of atoms. The raw total energy comes out at -27.85 eV per formula unit. The crystal system is orthorhombic.

=====

[3]
Density functional theory data (PBE) for a relaxed LaOs2Se crystal.

The structure belongs to space group F-43m (No. 216); the cell edges are 6.739, 6.739 and 6.739 Å and the angles 90.00°, 90.00° and 90.00°. The distinct sites, in fractional coordinates, are La at (0.000, 0.000, 0.000), Os at (0.000, 0.000, 0.500), Os at (0.250, 0.250, 0.250) and Se at (0.250, 0.250, 0.750).

The uncorrected formation energy comes out at 61.64 kJ/mol of atoms. The raw total energy comes out at -28.32 eV per formula unit. The crystal system is cubic.

=====

[4]
Density functional theory data (PBE) for a relaxed LaOs2Se crystal.

The structure belongs to space group I-4m2 (No. 119); the cell edges are 4.105, 4.105 and 8.976 Å and the angles 90.00°, 90.00° and 90.00°. The distinct sites, in fractional coordinates, are La at (0.000, 0.000, 0.000), Os at (0.000, 0.000, 0.500), Os at (0.000, 0.500, 0.750) and Se at (0.000, 0.500, 0.250).

The uncorrected formation energy comes out at 56.65 kJ/mol of atoms. The raw total energy comes out at -28.52 eV per formula unit. The crystal system is tetragonal.

=====

[5]
Density functional theory data (PBE) for a relaxed La2OsSe crystal.

The structure belongs to space group I-42d (No. 122); the cell edges are 7.505, 7.505 and 8.521 Å and the angles 90.00°, 90.00° and 90.00°. The distinct sites, in fractional coordinates, are La at (0.214, 0.250, 0.125), Os at (0.000, 0.000, 0.000) and Se at (0.000, 0.000, 0.500).

The uncorrected formation energy comes out at -59.07 kJ/mol of atoms. The raw total energy comes out at -27.02 eV per formula unit. The crystal system is tetragonal.

=====

[6]
Density functional theory data (PBE) for a relaxed LaOsSe crystal.

The structure belongs to space group F-43m (No. 216); the cell edges are 6.554, 6.554 and 6.554 Å and the angles 90.00°, 90.00° and 90.00°. The distinct sites, in fractional coordinates, are La at (0.000, 0.000, 0.000), Os at (0.250, 0.250, 0.750) and Se at (0.000, 0.000, 0.500).

The uncorrected formation energy comes out at -10.21 kJ/mol of atoms. The raw total energy comes out at -19.96 eV per formula unit. The crystal system is cubic. The calculation puts the relative energy among the computed polymorphs at 394 meV/atom.